First-principles (PBE-GGA) data for LaI3N after structural relaxation, as listed in Alexandria.

Properties
Energy relative to the lowest polymorph listed for this composition, meV per atom: 32

Cell: 6.8730 6.8730 9.7619 Å, 93.92 93.92 71.10°
Fractional positions:
La: 0.2487 0.7513 0.0000
La: 0.7513 0.2487 0.0000
I: 0.0523 0.0523 0.7556
I: 0.2559 0.2559 0.1056
I: 0.4149 0.4149 0.7574
I: 0.5851 0.5851 0.2426
I: 0.7441 0.7441 0.8944
I: 0.9477 0.9477 0.2444
N: 0.2125 0.2125 0.4529
N: 0.7875 0.7875 0.5471

First-principles (PBE-GGA) data for La3IN after structural relaxation, as listed in Alexandria.

Properties
Energy relative to the lowest polymorph listed for this composition, meV per atom: 72

Cell: 5.1011 5.1011 5.1011 Å, 90.00 90.00 90.00°
Fractional positions:
La: 0.0000 0.0000 0.5000
La: 0.0000 0.5000 0.0000
La: 0.5000 0.0000 0.0000
I: 0.5000 0.5000 0.5000
N: 0.0000 0.0000 0.0000

First-principles (PBE-GGA) data for La2I2N after structural relaxation, as listed in Alexandria.

Properties
Energy relative to the lowest polymorph listed for this composition, meV per atom: 1768

Cell: 8.3303 8.3303 8.3303 Å, 147.37 147.37 46.81°
Fractional positions:
La: 0.1052 0.1052 0.0000
La: 0.8948 0.8948 0.0000
I: 0.2500 0.7500 0.5000
I: 0.7500 0.2500 0.5000
N: 0.5000 0.5000 0.0000

First-principles (PBE-GGA) data for LaI3N after structural relaxation, as listed in Alexandria.

Properties
Energy relative to the lowest polymorph listed for this composition, meV per atom: 288

Cell: 5.1521 5.1521 5.1521 Å, 90.00 90.00 90.00°
Fractional positions:
La: 0.0000 0.0000 0.0000
I: 0.0000 0.5000 0.5000
I: 0.5000 0.0000 0.5000
I: 0.5000 0.5000 0.0000
N: 0.5000 0.5000 0.5000

First-principles (PBE-GGA) data for LaIN after structural relaxation, as listed in Alexandria.

Cell: 4.3387 4.3387 11.2370 Å, 91.87 91.87 54.90°
Fractional positions:
La: 0.1478 0.1478 0.1182
La: 0.8522 0.8522 0.8818
I: 0.1704 0.1704 0.6837
I: 0.8296 0.8296 0.3163
N: 0.4169 0.4169 0.0230
N: 0.5831 0.5831 0.9770

First-principles (PBE-GGA) data for La2I2N after structural relaxation, as listed in Alexandria.

Properties
Energy relative to the lowest polymorph listed for this composition, meV per atom: 633

Cell: 7.1746 7.1746 5.6817 Å, 90.00 90.00 90.00°
Fractional positions:
La: 0.1958 0.3042 0.0000
La: 0.3042 0.8042 0.0000
La: 0.6958 0.1958 0.0000
La: 0.8042 0.6958 0.0000
I: 0.1670 0.6670 0.5000
I: 0.3330 0.1670 0.5000
I: 0.6670 0.8330 0.5000
I: 0.8330 0.3330 0.5000
N: 0.0000 0.0000 0.0000
N: 0.5000 0.5000 0.0000

The following E_tot values (in eV/atom) correspond, in order, to the records above: -3.6602; -5.6537; -4.0119; -3.4043; -6.2805; -5.1467.
The following size of the total moment values (in μB/f.u.) correspond, in order, to the records above: 2.99; 0.00; 0.79; 0.00; 0.00; 0.41.